1.
VASP calculation (PBE) on an optimized crystal structure of Mn2InRu.

Cell and atoms, written as CIF:
```
data_Mn2InRu
_cell_length_a 2.9276
_cell_length_b 2.9276
_cell_length_c 26.0072
_cell_angle_alpha 90.00
_cell_angle_beta 90.00
_cell_angle_gamma 120.00
_symmetry_space_group_name_H-M 'R -3 m'
_symmetry_Int_Tables_number 166
_symmetry_space_group_name_Hall '-R 3 2"'
loop_
_atom_site_label
_atom_site_fract_x
_atom_site_fract_y
_atom_site_fract_z
_atom_site_occupancy
Mn1 0.0000 0.0000 0.2424 1
In1 0.0000 0.0000 0.0000 1
Ru1 0.0000 0.0000 0.5000 1
```

2.
VASP calculation (PBE) on an optimized crystal structure of Mn2InRu.

Cell and atoms, written as CIF:
```
data_Mn2InRu
_cell_length_a 2.8648
_cell_length_b 2.8648
_cell_length_c 25.9402
_cell_angle_alpha 90.00
_cell_angle_beta 90.00
_cell_angle_gamma 120.00
_symmetry_space_group_name_H-M 'R 3 m'
_symmetry_Int_Tables_number 160
_symmetry_space_group_name_Hall 'R 3 -2"'
loop_
_atom_site_label
_atom_site_fract_x
_atom_site_fract_y
_atom_site_fract_z
_atom_site_occupancy
Mn1 0.0000 0.0000 0.0000 1
Mn2 0.0000 0.0000 0.2561 1
In1 0.0000 0.0000 0.4982 1
Ru1 0.0000 0.0000 0.7403 1
```

3.
VASP calculation (PBE) on an optimized crystal structure of Mn4InRu.

Cell and atoms, written as CIF:
```
data_Mn4InRu
_cell_length_a 6.8124
_cell_length_b 6.8124
_cell_length_c 6.8124
_cell_angle_alpha 90.00
_cell_angle_beta 90.00
_cell_angle_gamma 90.00
_symmetry_space_group_name_H-M 'F -4 3 m'
_symmetry_Int_Tables_number 216
_symmetry_space_group_name_Hall 'F -4 2 3'
loop_
_atom_site_label
_atom_site_fract_x
_atom_site_fract_y
_atom_site_fract_z
_atom_site_occupancy
Mn1 0.1248 0.1248 0.1248 1
In1 0.0000 0.0000 0.5000 1
Ru1 0.2500 0.2500 0.7500 1
```

4.
VASP calculation (PBE) on an optimized crystal structure of Mn2InRu.

Cell and atoms, written as CIF:
```
data_Mn2InRu
_cell_length_a 4.1108
_cell_length_b 4.1108
_cell_length_c 3.6958
_cell_angle_alpha 90.00
_cell_angle_beta 90.00
_cell_angle_gamma 90.00
_symmetry_space_group_name_H-M 'P 4/m m m'
_symmetry_Int_Tables_number 123
_symmetry_space_group_name_Hall '-P 4 2'
loop_
_atom_site_label
_atom_site_fract_x
_atom_site_fract_y
_atom_site_fract_z
_atom_site_occupancy
Mn1 0.0000 0.5000 0.0000 1
In1 0.0000 0.0000 0.5000 1
Ru1 0.5000 0.5000 0.5000 1
```

5.
VASP calculation (PBE) on an optimized crystal structure of MnInRu2.

Cell and atoms, written as CIF:
```
data_MnInRu2
_cell_length_a 3.0737
_cell_length_b 3.0737
_cell_length_c 6.3853
_cell_angle_alpha 90.00
_cell_angle_beta 90.00
_cell_angle_gamma 90.00
_symmetry_space_group_name_H-M 'P 4/m m m'
_symmetry_Int_Tables_number 123
_symmetry_space_group_name_Hall '-P 4 2'
loop_
_atom_site_label
_atom_site_fract_x
_atom_site_fract_y
_atom_site_fract_z
_atom_site_occupancy
Mn1 0.0000 0.0000 0.0000 1
In1 0.0000 0.0000 0.5000 1
Ru1 0.5000 0.5000 0.2196 1
```

6.
VASP calculation (PBE) on an optimized crystal structure of MnInRu2.

Cell and atoms, written as CIF:
```
data_MnInRu2
_cell_length_a 4.3727
_cell_length_b 4.3727
_cell_length_c 3.2000
_cell_angle_alpha 90.00
_cell_angle_beta 90.00
_cell_angle_gamma 90.00
_symmetry_space_group_name_H-M 'P 4/m m m'
_symmetry_Int_Tables_number 123
_symmetry_space_group_name_Hall '-P 4 2'
loop_
_atom_site_label
_atom_site_fract_x
_atom_site_fract_y
_atom_site_fract_z
_atom_site_occupancy
Mn1 0.0000 0.0000 0.0000 1
In1 0.5000 0.5000 0.0000 1
Ru1 0.0000 0.5000 0.5000 1
```

7.
VASP calculation (PBE) on an optimized crystal structure of Mn2InRu.

Cell and atoms, written as CIF:
```
data_Mn2InRu
_cell_length_a 7.1336
_cell_length_b 7.1336
_cell_length_c 5.3862
_cell_angle_alpha 90.00
_cell_angle_beta 90.00
_cell_angle_gamma 90.00
_symmetry_space_group_name_H-M 'I -4 2 d'
_symmetry_Int_Tables_number 122
_symmetry_space_group_name_Hall 'I -4 2bw'
loop_
_atom_site_label
_atom_site_fract_x
_atom_site_fract_y
_atom_site_fract_z
_atom_site_occupancy
Mn1 0.2133 0.7500 0.1250 1
In1 0.0000 0.0000 0.5000 1
Ru1 0.0000 0.0000 0.0000 1
```

8.
VASP calculation (PBE) on an optimized crystal structure of Mn2InRu.

Cell and atoms, written as CIF:
```
data_Mn2InRu
_cell_length_a 2.7810
_cell_length_b 4.0852
_cell_length_c 5.2995
_cell_angle_alpha 90.00
_cell_angle_beta 104.99
_cell_angle_gamma 90.00
_symmetry_space_group_name_H-M 'P 1 m 1'
_symmetry_Int_Tables_number 6
loop_
_symmetry_equiv_pos_as_xyz
'x,y,z'
'x,-y,z'
loop_
_atom_site_label
_atom_site_fract_x
_atom_site_fract_y
_atom_site_fract_z
_atom_site_occupancy
Mn1 0.0000 0.0000 0.0000 1
Mn2 0.0636 0.5000 0.2439 1
In1 0.3695 0.5000 0.7571 1
Ru1 0.6826 0.0000 0.4341 1
```

9.
VASP calculation (PBE) on an optimized crystal structure of Mn2InRu.

Cell and atoms, written as CIF:
```
data_Mn2InRu
_cell_length_a 2.8351
_cell_length_b 2.8351
_cell_length_c 7.4485
_cell_angle_alpha 90.00
_cell_angle_beta 90.00
_cell_angle_gamma 90.00
_symmetry_space_group_name_H-M 'P 4 m m'
_symmetry_Int_Tables_number 99
loop_
_symmetry_equiv_pos_as_xyz
'x,y,z'
'-y,x,z'
'-x,-y,z'
'y,-x,z'
'-x,y,z'
'y,x,z'
'x,-y,z'
'-y,-x,z'
loop_
_atom_site_label
_atom_site_fract_x
_atom_site_fract_y
_atom_site_fract_z
_atom_site_occupancy
Mn1 0.0000 0.0000 0.0000 1
Mn2 0.5000 0.5000 0.2228 1
In1 0.5000 0.5000 0.7042 1
Ru1 0.0000 0.0000 0.4213 1
```

10.
VASP calculation (PBE) on an optimized crystal structure of MnInRu2.

Cell and atoms, written as CIF:
```
data_MnInRu2
_cell_length_a 9.2709
_cell_length_b 2.9412
_cell_length_c 4.6653
_cell_angle_alpha 90.00
_cell_angle_beta 102.46
_cell_angle_gamma 90.00
_symmetry_space_group_name_H-M 'C 1 m 1'
_symmetry_Int_Tables_number 8
loop_
_symmetry_equiv_pos_as_xyz
'x,y,z'
'x,-y,z'
'x+1/2,y+1/2,z'
'x+1/2,-y+1/2,z'
loop_
_atom_site_label
_atom_site_fract_x
_atom_site_fract_y
_atom_site_fract_z
_atom_site_occupancy
Mn1 0.0000 0.0000 0.0000 1
In1 0.2599 0.5000 0.2662 1
Ru1 0.0160 0.5000 0.5540 1
Ru2 0.2545 0.0000 0.7613 1
```

11.
VASP calculation (PBE) on an optimized crystal structure of MnInRu2.

Cell and atoms, written as CIF:
```
data_MnInRu2
_cell_length_a 8.8184
_cell_length_b 2.8801
_cell_length_c 4.9699
_cell_angle_alpha 90.00
_cell_angle_beta 102.88
_cell_angle_gamma 90.00
_symmetry_space_group_name_H-M 'C 1 2/m 1'
_symmetry_Int_Tables_number 12
loop_
_symmetry_equiv_pos_as_xyz
'x,y,z'
'-x,-y,-z'
'-x,y,-z'
'x,-y,z'
'x+1/2,y+1/2,z'
'-x+1/2,-y+1/2,-z'
'-x+1/2,y+1/2,-z'
'x+1/2,-y+1/2,z'
loop_
_atom_site_label
_atom_site_fract_x
_atom_site_fract_y
_atom_site_fract_z
_atom_site_occupancy
Mn1 0.0000 0.0000 0.0000 1
In1 0.0000 0.5000 0.5000 1
Ru1 0.2365 0.5000 0.2141 1
```

12.
VASP calculation (PBE) on an optimized crystal structure of Mn2InRu.

Cell and atoms, written as CIF:
```
data_Mn2InRu
_cell_length_a 4.1951
_cell_length_b 4.1951
_cell_length_c 7.0824
_cell_angle_alpha 90.00
_cell_angle_beta 90.00
_cell_angle_gamma 90.00
_symmetry_space_group_name_H-M 'I -4 m 2'
_symmetry_Int_Tables_number 119
_symmetry_space_group_name_Hall 'I -4 -2'
loop_
_atom_site_label
_atom_site_fract_x
_atom_site_fract_y
_atom_site_fract_z
_atom_site_occupancy
Mn1 0.0000 0.0000 0.0000 1
Mn2 0.0000 0.5000 0.2500 1
In1 0.0000 0.0000 0.5000 1
Ru1 0.0000 0.5000 0.7500 1
```

13.
VASP calculation (PBE) on an optimized crystal structure of MnInRu2.

Cell and atoms, written as CIF:
```
data_MnInRu2
_cell_length_a 2.8699
_cell_length_b 3.8558
_cell_length_c 5.6022
_cell_angle_alpha 90.00
_cell_angle_beta 90.14
_cell_angle_gamma 90.00
_symmetry_space_group_name_H-M 'P 1 m 1'
_symmetry_Int_Tables_number 6
loop_
_symmetry_equiv_pos_as_xyz
'x,y,z'
'x,-y,z'
loop_
_atom_site_label
_atom_site_fract_x
_atom_site_fract_y
_atom_site_fract_z
_atom_site_occupancy
Mn1 0.0000 0.0000 0.0000 1
In1 0.5003 0.5000 0.2759 1
Ru1 0.0005 0.0000 0.5537 1
Ru2 0.5007 0.5000 0.7740 1
```

14.
VASP calculation (PBE) on an optimized crystal structure of MnInRu2.

Cell and atoms, written as CIF:
```
data_MnInRu2
_cell_length_a 3.8624
_cell_length_b 3.8624
_cell_length_c 8.1909
_cell_angle_alpha 90.00
_cell_angle_beta 90.00
_cell_angle_gamma 90.00
_symmetry_space_group_name_H-M 'I -4 m 2'
_symmetry_Int_Tables_number 119
_symmetry_space_group_name_Hall 'I -4 -2'
loop_
_atom_site_label
_atom_site_fract_x
_atom_site_fract_y
_atom_site_fract_z
_atom_site_occupancy
Mn1 0.0000 0.0000 0.0000 1
In1 0.0000 0.5000 0.2500 1
Ru1 0.0000 0.0000 0.5000 1
Ru2 0.0000 0.5000 0.7500 1
```

15.
VASP calculation (PBE) on an optimized crystal structure of Mn2InRu.

Cell and atoms, written as CIF:
```
data_Mn2InRu
_cell_length_a 8.9942
_cell_length_b 2.8856
_cell_length_c 4.7461
_cell_angle_alpha 90.00
_cell_angle_beta 101.71
_cell_angle_gamma 90.00
_symmetry_space_group_name_H-M 'C 1 m 1'
_symmetry_Int_Tables_number 8
loop_
_symmetry_equiv_pos_as_xyz
'x,y,z'
'x,-y,z'
'x+1/2,y+1/2,z'
'x+1/2,-y+1/2,z'
loop_
_atom_site_label
_atom_site_fract_x
_atom_site_fract_y
_atom_site_fract_z
_atom_site_occupancy
Mn1 0.0000 0.0000 0.0000 1
Mn2 0.2482 0.0000 0.7658 1
In1 0.2562 0.5000 0.2683 1
Ru1 0.0116 0.5000 0.5600 1
```

16.
VASP calculation (PBE) on an optimized crystal structure of MnInRu.

Cell and atoms, written as CIF:
```
data_MnInRu
_cell_length_a 2.9398
_cell_length_b 2.9398
_cell_length_c 10.8518
_cell_angle_alpha 90.00
_cell_angle_beta 90.00
_cell_angle_gamma 90.00
_symmetry_space_group_name_H-M 'I 4 m m'
_symmetry_Int_Tables_number 107
_symmetry_space_group_name_Hall 'I 4 -2'
loop_
_atom_site_label
_atom_site_fract_x
_atom_site_fract_y
_atom_site_fract_z
_atom_site_occupancy
Mn1 0.0000 0.0000 0.0000 1
In1 0.0000 0.0000 0.6836 1
Ru1 0.0000 0.0000 0.3706 1
```

17.
VASP calculation (PBE) on an optimized crystal structure of MnInRu2.

Cell and atoms, written as CIF:
```
data_MnInRu2
_cell_length_a 2.8920
_cell_length_b 2.8920
_cell_length_c 25.6626
_cell_angle_alpha 90.00
_cell_angle_beta 90.00
_cell_angle_gamma 120.00
_symmetry_space_group_name_H-M 'R -3 m'
_symmetry_Int_Tables_number 166
_symmetry_space_group_name_Hall '-R 3 2"'
loop_
_atom_site_label
_atom_site_fract_x
_atom_site_fract_y
_atom_site_fract_z
_atom_site_occupancy
Mn1 0.0000 0.0000 0.0000 1
In1 0.0000 0.0000 0.5000 1
Ru1 0.0000 0.0000 0.2572 1
```

18.
VASP calculation (PBE) on an optimized crystal structure of MnInRu.

Cell and atoms, written as CIF:
```
data_MnInRu
_cell_length_a 4.3271
_cell_length_b 4.3271
_cell_length_c 2.9717
_cell_angle_alpha 90.00
_cell_angle_beta 90.00
_cell_angle_gamma 120.00
_symmetry_space_group_name_H-M 'P -6 m 2'
_symmetry_Int_Tables_number 187
_symmetry_space_group_name_Hall 'P -6 2'
loop_
_atom_site_label
_atom_site_fract_x
_atom_site_fract_y
_atom_site_fract_z
_atom_site_occupancy
Mn1 0.0000 0.0000 0.0000 1
In1 0.6667 0.3333 0.5000 1
Ru1 0.3333 0.6667 0.0000 1
```

19.
VASP calculation (PBE) on an optimized crystal structure of Mn2InRu2.

Cell and atoms, written as CIF:
```
data_Mn2InRu2
_cell_length_a 7.2935
_cell_length_b 7.2935
_cell_length_c 2.8551
_cell_angle_alpha 90.00
_cell_angle_beta 90.00
_cell_angle_gamma 90.00
_symmetry_space_group_name_H-M 'P 4/m b m'
_symmetry_Int_Tables_number 127
_symmetry_space_group_name_Hall '-P 4 2ab'
loop_
_atom_site_label
_atom_site_fract_x
_atom_site_fract_y
_atom_site_fract_z
_atom_site_occupancy
Mn1 0.1609 0.3391 0.0000 1
In1 0.0000 0.0000 0.5000 1
Ru1 0.1312 0.6312 0.5000 1
```

20.
VASP calculation (PBE) on an optimized crystal structure of MnIn3Ru.

Cell and atoms, written as CIF:
```
data_MnIn3Ru
_cell_length_a 5.1360
_cell_length_b 5.1360
_cell_length_c 5.1360
_cell_angle_alpha 90.00
_cell_angle_beta 90.00
_cell_angle_gamma 90.00
_symmetry_space_group_name_H-M 'P m -3 m'
_symmetry_Int_Tables_number 221
_symmetry_space_group_name_Hall '-P 4 2 3'
loop_
_atom_site_label
_atom_site_fract_x
_atom_site_fract_y
_atom_site_fract_z
_atom_site_occupancy
Mn1 0.0000 0.0000 0.0000 1
In1 0.0000 0.5000 0.5000 1
Ru1 0.5000 0.5000 0.5000 1
```

Number 1: energy of formation from the pure elements 1.383 eV per formula unit, DFT total energy -29.0 eV/f.u.. Number 2: energy of formation from the pure elements 1.453 eV per formula unit, DFT total energy -28.9 eV/f.u.. Number 3: energy of formation from the pure elements 1.339 eV per formula unit, DFT total energy -47.4 eV/f.u.. Number 4: energy of formation from the pure elements 0.756 eV per formula unit, DFT total energy -29.6 eV/f.u.. Number 5: energy of formation from the pure elements 0.133 eV per formula unit, DFT total energy -30.3 eV/f.u.. Number 6: energy of formation from the pure elements 0.462 eV per formula unit, DFT total energy -30.0 eV/f.u.. Number 7: energy of formation from the pure elements 2.305 eV per formula unit, DFT total energy -28.0 eV/f.u.. Number 8: energy of formation from the pure elements 1.295 eV per formula unit, DFT total energy -29.1 eV/f.u.. Number 9: energy of formation from the pure elements 0.776 eV per formula unit, DFT total energy -29.6 eV/f.u.. Number 10: energy of formation from the pure elements 0.689 eV per formula unit, DFT total energy -29.8 eV/f.u.. Number 11: energy of formation from the pure elements 0.633 eV per formula unit, DFT total energy -29.8 eV/f.u.. Number 12: energy of formation from the pure elements 0.835 eV per formula unit, DFT total energy -29.5 eV/f.u.. Number 13: energy of formation from the pure elements 0.643 eV per formula unit, DFT total energy -29.8 eV/f.u.. Number 14: energy of formation from the pure elements 0.682 eV per formula unit, DFT total energy -29.8 eV/f.u.. Number 15: energy of formation from the pure elements 0.876 eV per formula unit, DFT total energy -29.5 eV/f.u.. Number 16: energy of formation from the pure elements 0.366 eV per formula unit, DFT total energy -20.8 eV/f.u.. Number 17: energy of formation from the pure elements 1.064 eV per formula unit, DFT total energy -29.4 eV/f.u.. Number 18: energy of formation from the pure elements 0.695 eV per formula unit, DFT total energy -20.5 eV/f.u.. Number 19: energy of formation from the pure elements 1.195 eV per formula unit, DFT total energy -38.4 eV/f.u.. Number 20: energy of formation from the pure elements 2.589 eV per formula unit, DFT total energy -24.1 eV/f.u..